# BaCeBiAu (GGA-PBE, optimized geometry)
# Size of the total moment: 1.9 μB/f.u.
# Formation energy: -0.57 eV/atom
# Calculated volume: 32.7 Å³ per atom
data_BaCeBiAu
_space_group_name_H-M_alt 'F -4 3 m'
_space_group_IT_number 216
_space_group_name_Hall 'F -4 2 3'
_cell_length_a 8.060
_cell_length_b 8.060
_cell_length_c 8.060
_cell_angle_alpha 90.00
_cell_angle_beta 90.00
_cell_angle_gamma 90.00
loop_
_atom_site_label
_atom_site_fract_x
_atom_site_fract_y
_atom_site_fract_z
Ba1 0.000 0.000 0.000
Ce1 0.000 0.000 0.500
Bi1 0.250 0.250 0.250
Au1 0.250 0.250 0.750